# 1
## NdSm2ErTm5 (PBE)

Data for crystalline NdSm2ErTm5 at its relaxed geometry.

CIF file:
```
data_NdSm2ErTm5
_chemical_formula_sum 'Nd4 Sm8 Er4 Tm20'
_cell_length_a 8.715
_cell_length_b 8.715
_cell_length_c 15.105
_cell_angle_alpha 90.00
_cell_angle_beta 90.00
_cell_angle_gamma 90.00
_symmetry_space_group_name_H-M 'I 4/m c m'
_symmetry_Int_Tables_number 140
_symmetry_space_group_name_Hall '-I 4 2c'
loop_
_atom_site_label
_atom_site_type_symbol
_atom_site_fract_x
_atom_site_fract_y
_atom_site_fract_z
Nd1 Nd 0.000 0.000 0.250
Sm1 Sm 0.116 0.384 0.000
Er1 Er 0.000 0.500 0.250
Tm1 Tm 0.000 0.000 0.000
Tm2 Tm 0.209 0.291 0.364
```

Calculated formation energy   0.2729 eV per atom
N(E_F)   10.0 states/eV/f.u.
Calculated volume   1147 Å³ per cell

# 2
## DyTm3Te4 (PBE)

Data for crystalline DyTm3Te4 at its relaxed geometry.

CIF file:
```
data_DyTm3Te4
_chemical_formula_sum 'Dy2 Tm6 Te8'
_cell_length_a 7.514
_cell_length_b 8.537
_cell_length_c 7.490
_cell_angle_alpha 90.00
_cell_angle_beta 109.14
_cell_angle_gamma 90.00
_symmetry_space_group_name_H-M 'P 1 2/c 1'
_symmetry_Int_Tables_number 13
loop_
_symmetry_equiv_pos_as_xyz
'x,y,z'
'-x,-y,-z'
'-x,y,-z+1/2'
'x,-y,z+1/2'
loop_
_atom_site_label
_atom_site_type_symbol
_atom_site_fract_x
_atom_site_fract_y
_atom_site_fract_z
Dy1 Dy 0.000 0.125 0.250
Tm1 Tm 0.000 0.372 0.750
Tm2 Tm 0.500 0.124 0.750
Tm3 Tm 0.500 0.372 0.250
Te1 Te 0.252 0.378 0.502
Te2 Te 0.253 0.126 0.000
```

N(E_F)   4.1 states/eV/f.u.
Formation energy from raw total energies   -1195 meV per atom
Calculated volume   454 Å³ per cell

# 3
## Th2PtBr2 (PBE)

Data for crystalline Th2PtBr2 at its relaxed geometry.

CIF file:
```
data_Th2PtBr2
_chemical_formula_sum 'Th6 Pt3 Br6'
_cell_length_a 4.2077
_cell_length_b 4.2077
_cell_length_c 32.9742
_cell_angle_alpha 90.00
_cell_angle_beta 90.00
_cell_angle_gamma 120.00
_symmetry_space_group_name_H-M 'R -3 m'
_symmetry_Int_Tables_number 166
_symmetry_space_group_name_Hall '-R 3 2"'
loop_
_atom_site_label
_atom_site_type_symbol
_atom_site_fract_x
_atom_site_fract_y
_atom_site_fract_z
Th1 Th 0.0000 0.0000 0.1179
Pt1 Pt 0.0000 0.0000 0.5000
Br1 Br 0.0000 0.0000 0.2763
```

N(E_F)   3.6 states/eV/f.u.
Formation energy from raw total energies   -1372 meV per atom
Calculated volume   506 Å³ per cell

Repeat the first record exactly.
## NdSm2ErTm5 (PBE)

Data for crystalline NdSm2ErTm5 at its relaxed geometry.

CIF file:
```
data_NdSm2ErTm5
_chemical_formula_sum 'Nd4 Sm8 Er4 Tm20'
_cell_length_a 8.715
_cell_length_b 8.715
_cell_length_c 15.105
_cell_angle_alpha 90.00
_cell_angle_beta 90.00
_cell_angle_gamma 90.00
_symmetry_space_group_name_H-M 'I 4/m c m'
_symmetry_Int_Tables_number 140
_symmetry_space_group_name_Hall '-I 4 2c'
loop_
_atom_site_label
_atom_site_type_symbol
_atom_site_fract_x
_atom_site_fract_y
_atom_site_fract_z
Nd1 Nd 0.000 0.000 0.250
Sm1 Sm 0.116 0.384 0.000
Er1 Er 0.000 0.500 0.250
Tm1 Tm 0.000 0.000 0.000
Tm2 Tm 0.209 0.291 0.364
```

Calculated formation energy   0.2729 eV per atom
N(E_F)   10.0 states/eV/f.u.
Calculated volume   1147 Å³ per cell